(1)
The following is a DFT calculation (PBE) of a relaxed Sm6Co2SiCl3 crystal.

Cell: 3.994 8.698 9.523 Å, 108.11 102.11 90.00°
Fractional positions:
Sm: 0.323 0.435 0.647
Sm: 0.677 0.565 0.353
Sm: 0.980 0.754 0.960
Sm: 0.020 0.246 0.040
Sm: 0.336 0.869 0.673
Sm: 0.664 0.131 0.327
Co: 0.829 0.652 0.657
Co: 0.171 0.348 0.343
Cl: 0.161 0.844 0.323
Cl: 0.839 0.156 0.677
Cl: 0.500 0.500 0.000
Si: 0.500 0.000 0.000

## Properties
Raw formation energy, eV/atom: -0.93
DOS(E_F), states/eV/f.u.: 4.83

(2)
The following is a DFT calculation (PBE) of a relaxed Zn2FeAg2 crystal.

Cell: 7.311 7.311 3.002 Å, 90.00 90.00 90.00°
Site moments in Bohr magnetons follow the coordinates.
Fractional positions:
Zn: 0.133 0.367 0.000  -0.02
Zn: 0.367 0.867 0.000  -0.02
Zn: 0.867 0.633 0.000  -0.02
Zn: 0.633 0.133 0.000  -0.02
Fe: 0.000 0.000 0.000  2.93
Fe: 0.500 0.500 0.000  2.94
Ag: 0.667 0.833 0.500  -0.01
Ag: 0.167 0.667 0.500  -0.01
Ag: 0.333 0.167 0.500  -0.01
Ag: 0.833 0.333 0.500  -0.01

## Properties
Formation energy from the elements, eV per atom: 0.27
DOS(E_F), states/eV/f.u.: 3.06

(3)
The following is a DFT calculation (PBE) of a relaxed VCrH2 crystal.

Cell: 3.515 3.515 3.515 Å, 60.00 60.00 60.00°
Site moments in Bohr magnetons follow the coordinates.
Fractional positions:
H: 0.250 0.250 0.250  -0.01
H: 0.750 0.750 0.750  -0.01
Cr: 0.500 0.500 0.500  1.38
V: 0.000 0.000 0.000  -0.34

## Properties
DOS(E_F), states/eV/f.u.: 2.10
Energy relative to the lowest polymorph listed for this composition, meV/atom: 516

(4)
The following is a DFT calculation (PBE) of a relaxed FeNiPt2 crystal.

Cell: 4.701 4.701 4.701 Å, 132.57 132.52 69.37°
Site moments in Bohr magnetons follow the coordinates.
Fractional positions:
Pt: 0.000 0.000 0.000  0.31
Pt: 0.750 0.250 0.500  0.35
Ni: 0.250 0.750 0.500  0.72
Fe: 0.500 0.500 0.000  3.09

## Properties
Formation energy from the elements, eV per atom: -0.18
DOS(E_F), states/eV/f.u.: 4.04

(5)
The following is a DFT calculation (PBE) of a relaxed Be17ReRh crystal.

Cell: 5.455 5.455 5.455 Å, 83.03 83.03 83.03°
Fractional positions:
Be: 0.001 0.301 0.696
Be: 0.104 0.104 0.104
Be: 0.163 0.650 0.650
Be: 0.992 0.992 0.505
Be: 0.505 0.992 0.992
Be: 0.898 0.898 0.898
Be: 0.650 0.163 0.650
Be: 0.301 0.001 0.696
Be: 0.992 0.505 0.992
Be: 0.650 0.650 0.163
Be: 0.301 0.696 0.001
Be: 0.844 0.351 0.351
Be: 0.351 0.351 0.844
Be: 0.001 0.696 0.301
Be: 0.696 0.001 0.301
Be: 0.351 0.844 0.351
Be: 0.696 0.301 0.001
Re: 0.659 0.659 0.659
Rh: 0.344 0.344 0.344

## Properties
Formation energy from the elements, eV per atom: -0.19
DOS(E_F), states/eV/f.u.: 3.91

(6)
The following is a DFT calculation (PBE) of a relaxed CoW2Cl8 crystal.

Cell: 6.818 7.037 7.037 Å, 69.49 86.56 86.56°
Site moments in Bohr magnetons follow the coordinates.
Fractional positions:
Cl: 0.343 0.291 0.291  0.00
Cl: 0.710 0.128 0.128  0.01
Cl: 0.819 0.676 0.152  0.02
Cl: 0.657 0.709 0.709  0.00
Cl: 0.181 0.324 0.848  0.02
Cl: 0.819 0.152 0.676  0.02
Cl: 0.290 0.872 0.872  0.01
Cl: 0.181 0.848 0.324  0.02
Co: 0.000 0.000 0.000  1.72
W: 0.632 0.912 0.912  -0.33
W: 0.368 0.088 0.088  -0.33

## Properties
Raw formation energy, eV/atom: -0.50
DOS(E_F), states/eV/f.u.: 6.59

(7)
The following is a DFT calculation (PBE) of a relaxed La3HoAl4 crystal.

Cell: 3.740 3.740 15.050 Å, 90.00 90.00 90.00°
Fractional positions:
Al: 0.000 0.000 0.108
Al: 0.000 0.000 0.892
Al: 0.000 0.000 0.371
Al: 0.000 0.000 0.629
La: 0.500 0.500 0.242
La: 0.500 0.500 0.758
La: 0.500 0.500 0.500
Ho: 0.500 0.500 0.000

## Properties
Formation energy from the elements, eV per atom: -0.37
DOS(E_F), states/eV/f.u.: 3.28

(8)
The following is a DFT calculation (PBE) of a relaxed Nd4PAuS2 crystal.

Cell: 4.121 7.222 7.233 Å, 71.18 90.00 90.00°
Fractional positions:
P: 0.000 0.500 0.500
Au: 0.500 0.500 0.000
S: 0.500 0.000 0.500
S: 0.000 0.000 0.000
Nd: 0.000 0.762 0.736
Nd: 0.000 0.238 0.264
Nd: 0.500 0.247 0.739
Nd: 0.500 0.753 0.261

## Properties
Raw formation energy, eV/atom: -1.57
DOS(E_F), states/eV/f.u.: 3.62

(9)
The following is a DFT calculation (PBE) of a relaxed LaPm2Pu crystal.

Cell: 3.529 3.529 12.717 Å, 82.03 82.03 60.00°
Site moments in Bohr magnetons follow the coordinates.
Fractional positions:
Pm: 0.913 0.913 0.261  -0.04
Pm: 0.087 0.087 0.739  -0.04
La: 0.500 0.500 0.500  0.01
Pu: 0.000 0.000 0.000  -5.78

## Properties
Formation energy from the elements, eV per atom: 0.28
DOS(E_F), states/eV/f.u.: 12.82
Energy relative to the lowest polymorph listed for this composition, meV/atom: 156

(10)
The following is a DFT calculation (PBE) of a relaxed LiYCo crystal.

Cell: 5.262 5.261 3.408 Å, 71.11 71.09 37.80°
Site moments in Bohr magnetons follow the coordinates.
Fractional positions:
Y: 0.651 0.651 0.349  -0.12
Li: 0.360 0.360 0.640  -0.02
Co: 0.989 0.989 0.011  0.98

## Properties
Formation energy from the elements, eV per atom: 0.14
DOS(E_F), states/eV/f.u.: 2.55
Energy relative to the lowest polymorph listed for this composition, meV/atom: 132

(11)
The following is a DFT calculation (PBE) of a relaxed Sm2InTe5 crystal.

Cell: 6.272 8.131 13.803 Å, 90.00 90.00 112.69°
Fractional positions:
Te: 0.034 0.069 0.397
Te: 0.966 0.931 0.897
Te: 0.321 0.642 0.414
Te: 0.679 0.358 0.586
Te: 0.703 0.407 0.250
Te: 0.679 0.358 0.914
Te: 0.321 0.642 0.086
Te: 0.034 0.069 0.103
Te: 0.966 0.931 0.603
Te: 0.297 0.593 0.750
Sm: 0.172 0.343 0.571
Sm: 0.172 0.343 0.929
Sm: 0.828 0.657 0.071
Sm: 0.828 0.657 0.429
In: 0.192 0.384 0.250
In: 0.808 0.616 0.750

## Properties
Raw formation energy, eV/atom: -0.84
DOS(E_F), states/eV/f.u.: 6.21

(12)
The following is a DFT calculation (PBE) of a relaxed TlAg3Sb crystal.

Cell: 5.316 5.316 5.316 Å, 90.00 90.00 90.00°
Fractional positions:
Ag: 0.000 0.000 0.500
Ag: 0.000 0.500 0.000
Ag: 0.500 0.000 0.000
Sb: 0.000 0.000 0.000
Tl: 0.500 0.500 0.500

## Properties
Raw formation energy, eV/atom: 0.30
DOS(E_F), states/eV/f.u.: 2.82
Energy relative to the lowest polymorph listed for this composition, meV/atom: 0

(13)
The following is a DFT calculation (PBE) of a relaxed K3Li crystal.

Cell: 13.834 13.834 13.834 Å, 18.61 18.61 18.61°
Fractional positions:
Li: 0.000 0.000 0.000
K: 0.500 0.500 0.500
K: 0.264 0.264 0.264
K: 0.736 0.736 0.736

## Properties
Formation energy from the elements, eV per atom: 0.13
DOS(E_F), states/eV/f.u.: 3.44

(14)
The following is a DFT calculation (PBE) of a relaxed KCu2AsBr6 crystal.

Cell: 7.148 7.148 8.455 Å, 90.03 115.05 120.00°
Fractional positions:
Cu: 0.535 0.267 0.789
Cu: 0.459 0.729 0.173
Br: 0.821 0.775 0.195
Br: 0.559 0.951 0.765
Br: 0.434 0.045 0.195
Br: 0.165 0.389 0.195
Br: 0.171 0.219 0.765
Br: 0.827 0.607 0.765
K: 0.997 0.498 0.480
As: 0.996 0.998 0.980

## Properties
Raw formation energy, eV/atom: -0.60
DOS(E_F), states/eV/f.u.: 0.00

(15)
The following is a DFT calculation (PBE) of a relaxed LiLaCd2 crystal.

Cell: 5.153 5.153 5.152 Å, 120.04 120.05 89.93°
Fractional positions:
Cd: 0.000 0.000 0.000
Cd: 0.750 0.250 0.500
La: 0.500 0.500 0.000
Li: 0.250 0.750 0.500

## Properties
Formation energy from the elements, eV per atom: -0.29
DOS(E_F), states/eV/f.u.: 1.39

(16)
The following is a DFT calculation (PBE) of a relaxed MgSn2Te2 crystal.

Cell: 7.825 7.825 4.920 Å, 90.00 90.00 90.00°
Fractional positions:
Te: 0.177 0.323 0.000
Te: 0.323 0.823 0.000
Te: 0.677 0.177 0.000
Te: 0.823 0.677 0.000
Mg: 0.000 0.000 0.000
Mg: 0.500 0.500 0.000
Sn: 0.350 0.150 0.500
Sn: 0.850 0.350 0.500
Sn: 0.650 0.850 0.500
Sn: 0.150 0.650 0.500

## Properties
Raw formation energy, eV/atom: -0.11
DOS(E_F), states/eV/f.u.: 1.51
Energy relative to the lowest polymorph listed for this composition, meV/atom: 0

(17)
The following is a DFT calculation (PBE) of a relaxed TlNiSe3 crystal.

Cell: 5.369 5.369 5.369 Å, 90.00 90.00 90.00°
Site moments in Bohr magnetons follow the coordinates.
Fractional positions:
Se: 0.000 0.500 0.000  0.34
Se: 0.000 0.000 0.500  0.24
Se: 0.500 0.000 0.000  0.28
Ni: 0.500 0.500 0.500  1.06
Tl: 0.000 0.000 0.000  0.00

## Properties
Raw formation energy, eV/atom: 1.16
DOS(E_F), states/eV/f.u.: 9.22
Energy relative to the lowest polymorph listed for this composition, meV/atom: 1228

(18)
The following is a DFT calculation (PBE) of a relaxed ErTm9Th2 crystal.

Cell: 3.445 11.204 11.204 Å, 120.00 90.00 90.00°
Fractional positions:
Er: 0.000 0.000 0.000
Tm: 0.000 0.500 0.500
Tm: 0.500 0.174 0.347
Tm: 0.500 0.826 0.174
Tm: 0.000 0.500 0.000
Tm: 0.500 0.826 0.653
Tm: 0.500 0.347 0.174
Tm: 0.500 0.174 0.826
Tm: 0.500 0.653 0.826
Tm: 0.000 0.000 0.500
Th: 0.000 0.667 0.333
Th: 0.000 0.333 0.667

## Properties
Formation energy from the elements, eV per atom: 0.11
DOS(E_F), states/eV/f.u.: 23.87
Energy relative to the lowest polymorph listed for this composition, meV/atom: 78

(19)
The following is a DFT calculation (PBE) of a relaxed Li12AgHg3 crystal.

Cell: 4.161 4.161 16.203 Å, 90.00 90.00 90.00°
Fractional positions:
Li: 0.500 0.500 0.751
Li: 0.500 0.000 0.877
Li: 0.000 0.500 0.123
Li: 0.500 0.000 0.625
Li: 0.500 0.000 0.375
Li: 0.500 0.500 0.500
Li: 0.000 0.500 0.375
Li: 0.500 0.500 0.249
Li: 0.000 0.500 0.625
Li: 0.500 0.500 0.000
Li: 0.000 0.500 0.877
Li: 0.500 0.000 0.123
Ag: 0.000 0.000 0.000
Hg: 0.000 0.000 0.500
Hg: 0.000 0.000 0.248
Hg: 0.000 0.000 0.752

## Properties
Formation energy from the elements, eV per atom: -0.23
DOS(E_F), states/eV/f.u.: 6.88

(20)
The following is a DFT calculation (PBE) of a relaxed Pm2NdDy crystal.

Cell: 3.647 3.647 12.002 Å, 81.26 81.26 60.00°
Fractional positions:
Nd: 0.500 0.500 0.500
Dy: 0.667 0.667 0.999
Pm: 0.251 0.251 0.246
Pm: 0.082 0.082 0.754

## Properties
Formation energy from the elements, eV per atom: 0.02
DOS(E_F), states/eV/f.u.: 5.90
Energy relative to the lowest polymorph listed for this composition, meV/atom: 2

(21)
The following is a DFT calculation (PBE) of a relaxed Li2RhAu crystal.

Cell: 2.746 2.746 7.656 Å, 90.00 90.00 90.00°
Site moments in Bohr magnetons follow the coordinates.
Fractional positions:
Au: 0.500 0.500 0.750  0.00
Rh: 0.500 0.500 0.250  0.28
Li: 0.000 0.000 0.009  0.00
Li: 0.000 0.000 0.491  0.00

## Properties
Formation energy from the elements, eV per atom: -0.26
DOS(E_F), states/eV/f.u.: 3.38

(22)
The following is a DFT calculation (PBE) of a relaxed CdPd2Pb crystal.

Cell: 3.361 3.361 6.784 Å, 90.00 90.00 90.00°
Fractional positions:
Pb: 0.500 0.500 0.500
Pd: 0.000 0.000 0.767
Pd: 0.000 0.000 0.233
Cd: 0.500 0.500 0.000

## Properties
Formation energy from the elements, eV per atom: -0.27
DOS(E_F), states/eV/f.u.: 1.15

(23)
The following is a DFT calculation (PBE) of a relaxed HfSbN2 crystal.

Cell: 6.823 6.823 6.823 Å, 27.89 27.89 27.89°
Fractional positions:
N: 0.110 0.110 0.110
N: 0.890 0.890 0.890
Hf: 0.500 0.500 0.500
Sb: 0.000 0.000 0.000

## Properties
Raw formation energy, eV/atom: -0.70
DOS(E_F), states/eV/f.u.: 0.99

(24)
The following is a DFT calculation (PBE) of a relaxed Ac2La3YSe6 crystal.

Cell: 7.513 7.513 7.490 Å, 99.68 99.68 120.11°
Fractional positions:
Se: 0.082 0.400 0.248
Se: 0.233 0.233 0.746
Se: 0.767 0.767 0.254
Se: 0.600 0.918 0.752
Se: 0.400 0.082 0.248
Se: 0.918 0.600 0.752
La: 0.828 0.172 0.500
La: 0.172 0.828 0.500
La: 0.500 0.500 0.500
Ac: 0.334 0.666 0.000
Ac: 0.666 0.334 0.000
Y: 0.000 0.000 0.000

## Properties
Raw formation energy, eV/atom: -1.90
DOS(E_F), states/eV/f.u.: 6.51

(25)
The following is a DFT calculation (PBE) of a relaxed Ba3LaHg crystal.

Cell: 6.492 6.492 6.492 Å, 90.00 90.00 90.00°
Site moments in Bohr magnetons follow the coordinates.
Fractional positions:
Ba: 0.500 0.000 0.000  0.02
Ba: 0.000 0.500 0.000  0.05
Ba: 0.000 0.000 0.500  0.12
La: 0.000 0.000 0.000  0.28
Hg: 0.500 0.500 0.500  0.00

## Properties
Formation energy from the elements, eV per atom: 0.49
DOS(E_F), states/eV/f.u.: 6.18
Energy relative to the lowest polymorph listed for this composition, meV/atom: 336

Calculated uncorrected energy (eV/cell), listed in the same order as above: -64.6, -30.7, -23.7, -27.0, -86.7, -53.3, -37.3, -48.5, -27.7, -15.1, -69.1, -13.6, -4.7, -30.0, -9.8, -32.9, -12.8, -58.3, -30.4, -18.8, -15.5, -16.1, -33.5, -73.2, -8.6